a | # BaCu3O

BaCu3O after structural relaxation (PBE, the Alexandria database).

a = 4.4596 Å, b = 4.4596 Å, c = 4.4596 Å
α = 90.00°, β = 90.00°, γ = 90.00°
Element x y z (fractional)
O: 0.0000 0.0000 0.0000
Ba: 0.5000 0.5000 0.5000
Cu: 0.0000 0.5000 0.0000
Cu: 0.0000 0.0000 0.5000
Cu: 0.5000 0.0000 0.0000

Values from the calculation:
mass density = 6.440 Mg/m³
magnetization = 0.000 μB per formula unit
space group = Pm-3m (221)
crystal system = cubic

***

b | # BaCu3O

BaCu3O after structural relaxation (PBE, the Alexandria database).

a = 5.6278 Å, b = 5.6278 Å, c = 5.6278 Å
α = 90.00°, β = 90.00°, γ = 90.00°
Element x y z (fractional)
O: 0.5000 0.5000 0.5000
Ba: 0.0000 0.0000 0.0000
Cu: 0.0000 0.5000 0.0000
Cu: 0.0000 0.0000 0.5000
Cu: 0.5000 0.0000 0.0000

Values from the calculation:
mass density = 3.204 Mg/m³
magnetization = 0.000 μB per formula unit
space group = Pm-3m (221)
crystal system = cubic

***

Of them, a has the highest stability.

***

a | # Ba2CuOsO6

Ba2CuOsO6 after structural relaxation (PBE, the Alexandria database).

a = 5.9602 Å, b = 5.9602 Å, c = 5.9602 Å
α = 123.67°, β = 123.67°, γ = 83.76°
Site moments in Bohr magnetons follow the coordinates.
Element x y z (fractional)
Ba: 0.2500 0.7500 0.5000  0.01
Ba: 0.7500 0.2500 0.5000  0.01
Cu: 0.0000 0.0000 0.0000  -0.21
Os: 0.5000 0.5000 0.0000  0.86
O: 0.2811 0.2811 0.0000  0.07
O: 0.7189 0.7189 0.0000  0.07
O: 0.7114 0.7711 0.4825  0.03
O: 0.2886 0.2289 0.5175  0.03
O: 0.7711 0.2886 0.0596  0.03
O: 0.2289 0.7114 0.9404  0.03

Values from the calculation:
mass density = 7.380 Mg/m³
magnetization = 1.056 μB per formula unit
space group = I4/m (87)
crystal system = tetragonal

***

b | # Ba2CuOsO6

Ba2CuOsO6 after structural relaxation (PBE, the Alexandria database).

a = 5.8759 Å, b = 5.8759 Å, c = 10.1468 Å
α = 73.17°, β = 73.17°, γ = 60.00°
Site moments in Bohr magnetons follow the coordinates.
Element x y z (fractional)
Ba: 0.8723 0.8723 0.3830  0.01
Ba: 0.1277 0.1277 0.6170  0.01
Ba: 0.7207 0.7207 0.8378  0.01
Ba: 0.2793 0.2793 0.1622  0.01
Cu: 0.6029 0.6029 0.1912  -0.04
Cu: 0.3971 0.3971 0.8088  -0.04
Os: 0.0000 0.0000 0.0000  0.64
Os: 0.5000 0.5000 0.5000  0.78
O: 0.8483 0.3841 0.3834  0.04
O: 0.3841 0.8483 0.3834  0.04
O: 0.3841 0.3841 0.3834  0.04
O: 0.1517 0.6159 0.6166  0.04
O: 0.6159 0.1517 0.6166  0.04
O: 0.6159 0.6159 0.6166  0.04
O: 0.7345 0.1923 0.8809  0.04
O: 0.1923 0.7345 0.8809  0.04
O: 0.1923 0.1923 0.8809  0.04
O: 0.2655 0.8077 0.1191  0.04
O: 0.8077 0.2655 0.1191  0.04
O: 0.8077 0.8077 0.1191  0.04

Values from the calculation:
mass density = 7.253 Mg/m³
magnetization = 1.034 μB per formula unit
space group = R-3m (166)
crystal system = trigonal

***

Of them, b has the highest stability.

***

a | # BaCuP2O

BaCuP2O after structural relaxation (PBE, the Alexandria database).

a = 5.9406 Å, b = 5.9406 Å, c = 4.3161 Å
α = 90.00°, β = 90.00°, γ = 90.00°
Element x y z (fractional)
O: 0.0000 0.0000 0.5000
P: 0.0000 0.5000 0.0000
P: 0.5000 0.0000 0.0000
Ba: 0.0000 0.0000 0.0000
Cu: 0.5000 0.5000 0.5000

Values from the calculation:
mass density = 3.040 Mg/m³
magnetization = 0.000 μB per formula unit
space group = P4/mmm (123)
crystal system = tetragonal

***

b | # BaCuP2O

BaCuP2O after structural relaxation (PBE, the Alexandria database).

a = 4.3529 Å, b = 4.3529 Å, c = 5.4392 Å
α = 90.00°, β = 90.00°, γ = 90.00°
Site moments in Bohr magnetons follow the coordinates.
Element x y z (fractional)
O: 0.0000 0.0000 0.5000  0.61
P: 0.0000 0.5000 0.0000  0.25
P: 0.5000 0.0000 0.0000  0.25
Ba: 0.5000 0.5000 0.5000  0.02
Cu: 0.0000 0.0000 0.0000  0.17

Values from the calculation:
mass density = 4.492 Mg/m³
magnetization = 1.987 μB per formula unit
space group = P4/mmm (123)
crystal system = tetragonal

***

Of them, b has the highest stability.

***

a | # Ba4PrYCu6O14

Ba4PrYCu6O14 after structural relaxation (PBE, the Alexandria database).

a = 3.9047 Å, b = 3.9047 Å, c = 23.7705 Å
α = 90.00°, β = 90.00°, γ = 90.00°
Element x y z (fractional)
Ba: 0.5000 0.5000 0.1584
Ba: 0.5000 0.5000 0.6619
Ba: 0.5000 0.5000 0.8416
Ba: 0.5000 0.5000 0.3381
Pr: 0.5000 0.5000 0.5000
Y: 0.5000 0.5000 0.0000
Cu: 0.0000 0.0000 0.0731
Cu: 0.0000 0.0000 0.5778
Cu: 0.0000 0.0000 0.9269
Cu: 0.0000 0.0000 0.4222
Cu: 0.0000 0.0000 0.7519
Cu: 0.0000 0.0000 0.2481
O: 0.0000 0.0000 0.1690
O: 0.0000 0.0000 0.6729
O: 0.0000 0.0000 0.8310
O: 0.0000 0.0000 0.3271
O: 0.0000 0.5000 0.0607
O: 0.0000 0.5000 0.5647
O: 0.5000 0.0000 0.0595
O: 0.5000 0.0000 0.5658
O: 0.0000 0.5000 0.9405
O: 0.0000 0.5000 0.4342
O: 0.5000 0.0000 0.9393
O: 0.5000 0.0000 0.4353
O: 0.0000 0.5000 0.7522
O: 0.5000 0.0000 0.2478

Values from the calculation:
mass density = 6.343 Mg/m³
magnetization = 0.000 μB per formula unit
space group = P-4m2 (115)
crystal system = tetragonal

***

b | # Ba4PrYCu6O14

Ba4PrYCu6O14 after structural relaxation (PBE, the Alexandria database).

a = 12.5085 Å, b = 12.5085 Å, c = 3.9351 Å
α = 90.00°, β = 90.00°, γ = 143.96°
Element x y z (fractional)
Ba: 0.3391 0.6609 0.5000
Ba: 0.8396 0.1604 0.5000
Ba: 0.6609 0.3391 0.5000
Ba: 0.1604 0.8396 0.5000
Pr: 0.5000 0.5000 0.5000
Y: 0.0000 0.0000 0.5000
Cu: 0.6773 0.8288 0.0000
Cu: 0.1712 0.3227 0.0000
Cu: 0.8288 0.6773 0.0000
Cu: 0.3227 0.1712 0.0000
Cu: 0.5000 0.0000 0.0000
Cu: 0.0000 0.5000 0.0000
O: 0.5799 0.9220 0.0000
O: 0.0780 0.4201 0.0000
O: 0.9220 0.5799 0.0000
O: 0.4201 0.0780 0.0000
O: 0.6955 0.8209 0.5000
O: 0.1791 0.3045 0.5000
O: 0.8209 0.6955 0.5000
O: 0.3045 0.1791 0.5000
O: 0.5000 0.0000 0.5000
O: 0.0000 0.5000 0.5000
O: 0.9403 0.0597 0.0000
O: 0.4351 0.5649 0.0000
O: 0.0597 0.9403 0.0000
O: 0.5649 0.4351 0.0000

Values from the calculation:
mass density = 6.347 Mg/m³
magnetization = 0.000 μB per formula unit
space group = Cmmm (65)
crystal system = orthorhombic

***

Of them, b has the highest stability.

***

a | # BaCuSO

BaCuSO after structural relaxation (PBE, the Alexandria database).

a = 4.1381 Å, b = 4.1381 Å, c = 9.4361 Å
α = 90.00°, β = 90.00°, γ = 90.00°
Site moments in Bohr magnetons follow the coordinates.
Element x y z (fractional)
O: 0.0000 0.0000 0.0000  0.41
O: 0.5000 0.5000 0.0000  0.41
S: 0.0000 0.5000 0.6234  0.00
S: 0.5000 0.0000 0.3766  0.00
Ba: 0.0000 0.5000 0.1568  0.00
Ba: 0.5000 0.0000 0.8432  0.00
Cu: 0.0000 0.0000 0.5000  -0.01
Cu: 0.5000 0.5000 0.5000  -0.01

Values from the calculation:
mass density = 5.117 Mg/m³
magnetization = 0.476 μB per formula unit
space group = P4/nmm (129)
crystal system = tetragonal

***

b | # BaCuSO

BaCuSO after structural relaxation (PBE, the Alexandria database).

a = 6.6679 Å, b = 6.6679 Å, c = 6.1414 Å
α = 90.00°, β = 90.00°, γ = 145.44°
Element x y z (fractional)
Ba: 0.8954 0.1046 0.7500
Ba: 0.1046 0.8954 0.2500
Cu: 0.3971 0.6029 0.2500
Cu: 0.6029 0.3971 0.7500
S: 0.8144 0.1856 0.2500
S: 0.1856 0.8144 0.7500
O: 0.5000 0.5000 0.5000
O: 0.5000 0.5000 0.0000

Values from the calculation:
mass density = 5.338 Mg/m³
magnetization = 0.000 μB per formula unit
space group = Cmcm (63)
crystal system = orthorhombic

***

c | # BaCuSO

BaCuSO after structural relaxation (PBE, the Alexandria database).

a = 6.9708 Å, b = 6.6033 Å, c = 5.8878 Å
α = 106.79°, β = 104.05°, γ = 40.48°
Element x y z (fractional)
O: 0.4140 0.6695 0.3152
O: 0.8218 0.0887 0.6855
S: 0.9735 0.4577 0.0688
S: 0.5735 0.0918 0.6639
Ba: 0.3963 0.7454 0.7705
Ba: 0.8477 0.0564 0.1975
Cu: 0.6443 0.7440 0.3656
Cu: 0.2324 0.3347 0.3914

Values from the calculation:
mass density = 4.912 Mg/m³
magnetization = 0.000 μB per formula unit
space group = P1 (1)
crystal system = triclinic

***

Of them, b has the highest stability.

***

a | # BaCuSe2O6

BaCuSe2O6 after structural relaxation (PBE, the Alexandria database).

a = 4.9401 Å, b = 4.9401 Å, c = 15.9996 Å
α = 88.99°, β = 88.99°, γ = 64.22°
Site moments in Bohr magnetons follow the coordinates.
Element x y z (fractional)
Ba: 0.0358 0.9642 0.7500  0.00
Ba: 0.9642 0.0358 0.2500  0.00
Cu: 0.0000 0.0000 0.0000  0.58
Cu: 0.0000 0.0000 0.5000  0.58
Se: 0.6347 0.6379 0.9092  0.00
Se: 0.6379 0.6347 0.4092  0.00
Se: 0.3621 0.3653 0.5908  0.00
Se: 0.3653 0.3621 0.0908  0.00
O: 0.8267 0.2462 0.9017  0.09
O: 0.7538 0.1733 0.5983  0.09
O: 0.1733 0.7538 0.0983  0.09
O: 0.2462 0.8267 0.4017  0.09
O: 0.2618 0.6863 0.9215  0.09
O: 0.3137 0.7382 0.5785  0.09
O: 0.7382 0.3137 0.0785  0.09
O: 0.6863 0.2618 0.4215  0.09
O: 0.7287 0.6383 0.3061  0.02
O: 0.3617 0.2713 0.1939  0.02
O: 0.2713 0.3617 0.6939  0.02
O: 0.6383 0.7287 0.8061  0.02

Values from the calculation:
mass density = 4.297 Mg/m³
magnetization = 1.002 μB per formula unit
space group = C2/c (15)
crystal system = monoclinic

***

b | # BaCuSe2O6

BaCuSe2O6 after structural relaxation (PBE, the Alexandria database).

a = 5.4230 Å, b = 9.0585 Å, c = 13.5475 Å
α = 90.00°, β = 90.00°, γ = 90.00°
Site moments in Bohr magnetons follow the coordinates.
Element x y z (fractional)
Ba: 0.9970 0.7508 0.2978  0.00
Ba: 0.0030 0.2508 0.2022  0.00
Ba: 0.9970 0.7508 0.7022  0.00
Ba: 0.0030 0.2508 0.7978  0.00
Cu: 0.5422 0.0456 0.6308  0.58
Cu: 0.4578 0.5456 0.8692  0.58
Cu: 0.4578 0.5456 0.1308  0.58
Cu: 0.5422 0.0456 0.3692  0.58
Se: 0.5269 0.2312 0.0000  0.03
Se: 0.5036 0.9185 0.8573  0.01
Se: 0.5036 0.9185 0.1427  0.01
Se: 0.0840 0.1608 0.5000  0.01
Se: 0.4731 0.7312 0.5000  0.03
Se: 0.4964 0.4185 0.3573  0.01
Se: 0.4964 0.4185 0.6427  0.01
Se: 0.9160 0.6608 0.0000  0.01
O: 0.2103 0.9633 0.8250  0.01
O: 0.6852 0.0032 0.2328  0.08
O: 0.2103 0.9633 0.1750  0.01
O: 0.3148 0.5032 0.2672  0.08
O: 0.4468 0.3334 0.8959  0.07
O: 0.5945 0.5997 0.0000  0.15
O: 0.4055 0.0997 0.5000  0.15
O: 0.8406 0.2304 0.0000  0.01
O: 0.1594 0.7304 0.5000  0.01
O: 0.7897 0.4633 0.3250  0.01
O: 0.0245 0.5728 0.8977  0.02
O: 0.0245 0.5728 0.1023  0.02
O: 0.4641 0.2390 0.6876  0.07
O: 0.7897 0.4633 0.6750  0.01
O: 0.6852 0.0032 0.7672  0.08
O: 0.5359 0.7390 0.1876  0.07
O: 0.9755 0.0728 0.6023  0.02
O: 0.4468 0.3334 0.1041  0.07
O: 0.4641 0.2390 0.3124  0.07
O: 0.3148 0.5032 0.7328  0.08
O: 0.5359 0.7390 0.8124  0.07
O: 0.9755 0.0728 0.3977  0.02
O: 0.5532 0.8334 0.6041  0.07
O: 0.5532 0.8334 0.3959  0.07

Values from the calculation:
mass density = 4.539 Mg/m³
magnetization = 0.994 μB per formula unit
space group = Pmn2_1 (31)
crystal system = orthorhombic

***

c | # BaCuSe2O6

BaCuSe2O6 after structural relaxation (PBE, the Alexandria database).

a = 5.6133 Å, b = 5.6133 Å, c = 6.6660 Å
α = 65.10°, β = 65.10°, γ = 60.00°
Site moments in Bohr magnetons follow the coordinates.
Element x y z (fractional)
Ba: 0.0000 0.0000 0.0000  0.00
Cu: 0.5000 0.5000 0.5000  0.49
Se: 0.7302 0.7302 0.8095  0.03
Se: 0.2698 0.2698 0.1905  0.03
O: 0.0795 0.5060 0.7083  0.05
O: 0.7061 0.0795 0.7083  0.05
O: 0.4940 0.2939 0.2917  0.05
O: 0.9205 0.4940 0.2917  0.05
O: 0.2939 0.9205 0.2917  0.05
O: 0.5060 0.7061 0.7083  0.05

Values from the calculation:
mass density = 4.751 Mg/m³
magnetization = 0.922 μB per formula unit
space group = R-3 (148)
crystal system = trigonal

***

Of them, a has the highest stability.

***

a | # Ba2CuSi2O7

Ba2CuSi2O7 after structural relaxation (PBE, the Alexandria database).

a = 6.8555 Å, b = 6.8555 Å, c = 8.6192 Å
α = 77.59°, β = 77.59°, γ = 101.08°
Site moments in Bohr magnetons follow the coordinates.
Element x y z (fractional)
Ba: 0.7301 0.8111 0.9709  0.00
Ba: 0.8111 0.7301 0.4709  0.00
Ba: 0.1889 0.2699 0.5291  0.00
Ba: 0.2699 0.1889 0.0291  0.00
Cu: 0.7417 0.2583 0.2500  0.61
Cu: 0.2583 0.7417 0.7500  0.61
Si: 0.1553 0.6177 0.1415  0.00
Si: 0.8447 0.3823 0.8585  0.00
Si: 0.3823 0.8447 0.3585  0.00
Si: 0.6177 0.1553 0.6415  0.00
O: 0.9717 0.6202 0.7556  0.07
O: 0.0283 0.3798 0.2444  0.07
O: 0.7819 0.0145 0.6350  0.00
O: 0.3275 0.6725 0.2500  0.01
O: 0.6177 0.3012 0.4634  0.07
O: 0.0145 0.7819 0.1350  0.00
O: 0.3012 0.6177 0.9634  0.07
O: 0.2181 0.9855 0.3650  0.00
O: 0.6725 0.3275 0.7500  0.01
O: 0.3823 0.6988 0.5366  0.07
O: 0.3798 0.0283 0.7444  0.07
O: 0.6202 0.9717 0.2556  0.07
O: 0.9855 0.2181 0.8650  0.00
O: 0.6988 0.3823 0.0366  0.07

Values from the calculation:
mass density = 4.495 Mg/m³
magnetization = 1.007 μB per formula unit
space group = C2/c (15)
crystal system = monoclinic

***

b | # Ba2CuSi2O7

Ba2CuSi2O7 after structural relaxation (PBE, the Alexandria database).

a = 8.4174 Å, b = 8.4174 Å, c = 5.3541 Å
α = 90.00°, β = 90.00°, γ = 90.00°
Site moments in Bohr magnetons follow the coordinates.
Element x y z (fractional)
Ba: 0.6672 0.1672 0.5088  0.00
Ba: 0.8328 0.6672 0.4912  0.00
Ba: 0.1672 0.3328 0.4912  0.00
Ba: 0.3328 0.8328 0.5088  0.00
Cu: 0.5000 0.5000 0.0000  0.61
Cu: 0.0000 0.0000 0.0000  0.61
Si: 0.8659 0.3659 0.9758  0.00
Si: 0.6341 0.8659 0.0242  0.00
Si: 0.3659 0.1341 0.0242  0.00
Si: 0.1341 0.6341 0.9758  0.00
O: 0.6978 0.4211 0.8440  0.08
O: 0.3022 0.5789 0.8440  0.08
O: 0.4211 0.3022 0.1560  0.08
O: 0.5789 0.6978 0.1560  0.08
O: 0.9211 0.1978 0.8440  0.08
O: 0.8022 0.9211 0.1560  0.08
O: 0.1978 0.0789 0.1560  0.08
O: 0.0789 0.8022 0.8440  0.08
O: 0.8661 0.3661 0.2778  0.00
O: 0.6339 0.8661 0.7222  0.00
O: 0.0000 0.5000 0.8698  0.00
O: 0.5000 0.0000 0.1302  0.00
O: 0.1339 0.6339 0.2778  0.00
O: 0.3661 0.1339 0.7222  0.00

Values from the calculation:
mass density = 4.433 Mg/m³
magnetization = 1.000 μB per formula unit
space group = P-42_1m (113)
crystal system = tetragonal

***

Of them, b has the highest stability.